Entry from Alexandria via LeMat-Bulk: a relaxed K2MgMo2H4O10 crystal (PBE+U).

## Properties
The energy relative to the lowest polymorph listed for this composition comes out at 56 meV per atom. The space group is P-1.

The structure in POSCAR format:
```
K2MgMo2H4O10
1.0
-4.396 3.798 -0.033
0.951 -3.041 -7.361
-6.289 -1.431 3.165
K H Mg Mo O
2 4 1 2 10
direct
0.501 0.293 0.614 K
0.499 0.707 0.386 K
0.969 0.612 0.851 H
0.031 0.388 0.149 H
0.920 0.946 0.650 H
0.080 0.054 0.350 H
0.000 0.000 0.000 Mg
0.645 0.220 0.020 Mo
0.355 0.780 0.980 Mo
0.382 0.313 0.299 O
0.618 0.687 0.701 O
0.905 0.269 0.159 O
0.095 0.731 0.841 O
0.985 0.055 0.752 O
0.015 0.945 0.248 O
0.439 0.045 0.870 O
0.561 0.955 0.130 O
0.772 0.403 0.902 O
0.228 0.597 0.098 O
```